(1)
TaCd2Tc2 | PBE | relaxed

Computed properties:
Electronic total energy   -6.202 eV per atom
ΔH_f (0 K)   0.681 eV/atom
Total magnetization   0.00 μB per formula unit
Polymorph energy (0 for the lowest one)   0.955 eV/f.u.

Unit cell a=3.6552 b=3.6552 c=7.6691 alpha=76.21 beta=76.21 gamma=90.00
Fractional coordinates of all 5 atoms:
Cd (0.2500, 0.7500, 0.5000)
Cd (0.7500, 0.2500, 0.5000)
Ta (0.0000, 0.0000, 0.0000)
Tc (0.5820, 0.5820, 0.8361)
Tc (0.4180, 0.4180, 0.1639)

=====

(2)
TaCd2Tc | PBE | relaxed

Computed properties:
Electronic total energy   -5.080 eV per atom
ΔH_f (0 K)   0.933 eV/atom
Total magnetization   1.01 μB per formula unit
Polymorph energy (0 for the lowest one)   3.346 eV/f.u.

Unit cell a=7.7269 b=7.7269 c=6.0792 alpha=50.54 beta=50.54 gamma=90.00
Fractional coordinates of all 8 atoms:
Tc (0.2500, 0.7500, 0.5000)
Tc (0.5000, 0.5000, 0.0000)
Cd (0.8750, 0.8621, 0.7500)
Cd (0.6121, 0.1250, 0.2500)
Cd (0.3750, 0.3879, 0.7500)
Cd (0.1379, 0.6250, 0.2500)
Ta (0.0000, 0.0000, 0.0000)
Ta (0.7500, 0.2500, 0.5000)

=====

(3)
Ta2CdTc | PBE | relaxed

Computed properties:
Electronic total energy   -8.542 eV per atom
ΔH_f (0 K)   0.205 eV/atom
Total magnetization   0.00 μB per formula unit

Unit cell a=4.8121 b=4.8121 c=3.1441 alpha=90.00 beta=90.00 gamma=105.60
Fractional coordinates of all 4 atoms:
Ta (0.5000, 0.5000, 0.0000)
Ta (0.0000, 0.0000, 0.0000)
Cd (0.0000, 0.5000, 0.5000)
Tc (0.5000, 0.0000, 0.5000)

=====

(4)
TaCd2Tc | PBE | relaxed

Computed properties:
Electronic total energy   -5.550 eV per atom
ΔH_f (0 K)   0.462 eV/atom
Total magnetization   0.67 μB per formula unit
Polymorph energy (0 for the lowest one)   1.465 eV/f.u.

Unit cell a=2.8155 b=2.8155 c=9.1514 alpha=90.00 beta=90.00 gamma=90.00
Fractional coordinates of all 4 atoms:
Ta (0.5000, 0.5000, 0.2500)
Cd (0.0000, 0.0000, 0.9907)
Cd (0.0000, 0.0000, 0.5093)
Tc (0.5000, 0.5000, 0.7500)

=====

(5)
TaCd2Tc | PBE | relaxed

Computed properties:
Electronic total energy   -5.702 eV per atom
ΔH_f (0 K)   0.311 eV/atom
Total magnetization   0.00 μB per formula unit
Polymorph energy (0 for the lowest one)   0.859 eV/f.u.

Unit cell a=5.4152 b=5.4152 c=5.4152 alpha=137.43 beta=137.43 gamma=61.78
Fractional coordinates of all 4 atoms:
Ta (0.2500, 0.7500, 0.5000)
Tc (0.7500, 0.2500, 0.5000)
Cd (0.5000, 0.5000, 0.0000)
Cd (0.0000, 0.0000, 0.0000)

=====

(6)
TaCd2Tc2 | PBE | relaxed

Computed properties:
Electronic total energy   -6.393 eV per atom
ΔH_f (0 K)   0.490 eV/atom
Total magnetization   0.00 μB per formula unit
Polymorph energy (0 for the lowest one)   0.000 eV/f.u.

Unit cell a=6.4872 b=6.4872 c=4.5328 alpha=90.00 beta=90.00 gamma=90.00
Fractional coordinates of all 10 atoms:
Tc (0.8689, 0.6311, 0.0000)
Tc (0.3689, 0.8689, 0.0000)
Tc (0.6311, 0.1311, 0.0000)
Tc (0.1311, 0.3689, 0.0000)
Cd (0.1726, 0.6726, 0.5000)
Cd (0.3274, 0.1726, 0.5000)
Cd (0.8274, 0.3274, 0.5000)
Cd (0.6726, 0.8274, 0.5000)
Ta (0.5000, 0.5000, 0.0000)
Ta (0.0000, 0.0000, 0.0000)

=====

Please write out number 4 again, unchanged.
TaCd2Tc | PBE | relaxed

Computed properties:
Electronic total energy   -5.550 eV per atom
ΔH_f (0 K)   0.462 eV/atom
Total magnetization   0.67 μB per formula unit
Polymorph energy (0 for the lowest one)   1.465 eV/f.u.

Unit cell a=2.8155 b=2.8155 c=9.1514 alpha=90.00 beta=90.00 gamma=90.00
Fractional coordinates of all 4 atoms:
Ta (0.5000, 0.5000, 0.2500)
Cd (0.0000, 0.0000, 0.9907)
Cd (0.0000, 0.0000, 0.5093)
Tc (0.5000, 0.5000, 0.7500)